Record 1
A plane-wave DFT calculation with PBE was carried out for ScAs3F after structural relaxation. Values from VASP.

For the total energy, the calculation gives -23.7 eV per formula unit. Its total magnetization is 0.00 μB/f.u. The excess energy over the best structure of this formula in the dataset is 0 meV/atom. The value obtained for the raw formation energy is -312 meV per atom.

```
&SYSTEM
  ibrav = 0, nat = 5, ntyp = 3
/
ATOMIC_SPECIES
Sc 44.96 Sc.upf
As 74.92 As.upf
F 19.00 F.upf
CELL_PARAMETERS angstrom
4.534 0.000 0.000
0.000 4.534 0.000
0.000 0.000 4.534
ATOMIC_POSITIONS crystal
Sc 0.000 0.000 0.000
As 0.000 0.500 0.500
As 0.500 0.000 0.500
As 0.500 0.500 0.000
F 0.500 0.500 0.500
```

Record 2
A plane-wave DFT calculation with PBE was carried out for NaThTlI6 after structural relaxation. Values from VASP.

For the total energy, the calculation gives -30.4 eV per formula unit. Its total magnetization is 0.00 μB/f.u. The value obtained for the raw formation energy is -1115 meV per atom.

```
&SYSTEM
  ibrav = 0, nat = 18, ntyp = 4
/
ATOMIC_SPECIES
Na 22.99 Na.upf
Th 232.04 Th.upf
Tl 204.38 Tl.upf
I 126.90 I.upf
CELL_PARAMETERS angstrom
8.134 0.000 0.000
-4.067 7.044 0.000
0.000 0.000 15.123
ATOMIC_POSITIONS crystal
Na 0.333 0.667 0.250
Na 0.667 0.333 0.750
Th 0.333 0.667 0.750
Th 0.667 0.333 0.250
Tl 0.000 0.000 0.000
Tl 0.000 0.000 0.500
I 0.015 0.367 0.632
I 0.015 0.648 0.868
I 0.352 0.367 0.868
I 0.352 0.985 0.632
I 0.367 0.015 0.132
I 0.367 0.352 0.368
I 0.633 0.648 0.632
I 0.633 0.985 0.868
I 0.648 0.015 0.368
I 0.648 0.633 0.132
I 0.985 0.352 0.132
I 0.985 0.633 0.368
```

Record 3
A plane-wave DFT calculation with PBE was carried out for PmSmMgBe after structural relaxation. Values from VASP.

For the total energy, the calculation gives -14.4 eV per formula unit. Its total magnetization is 0.00 μB/f.u. Its formation energy from the elements is 0.105 eV/atom.

```
&SYSTEM
  ibrav = 0, nat = 4, ntyp = 4
/
ATOMIC_SPECIES
Pm 145.00 Pm.upf
Sm 150.36 Sm.upf
Mg 24.30 Mg.upf
Be 9.01 Be.upf
CELL_PARAMETERS angstrom
0.000 3.670 3.670
3.670 0.000 3.670
3.670 3.670 0.000
ATOMIC_POSITIONS crystal
Pm 0.000 0.000 0.000
Sm 0.500 0.500 0.500
Mg 0.250 0.250 0.250
Be 0.750 0.750 0.750
```

Record 4
A plane-wave DFT calculation with PBE was carried out for La5Hg after structural relaxation. Values from VASP.

For the total energy, the calculation gives -25.9 eV per formula unit. Its total magnetization is 0.00 μB/f.u. The excess energy over the best structure of this formula in the dataset is 0 meV/atom. Its formation energy from the elements is -0.166 eV/atom.

```
&SYSTEM
  ibrav = 0, nat = 6, ntyp = 2
/
ATOMIC_SPECIES
La 138.91 La.upf
Hg 200.59 Hg.upf
CELL_PARAMETERS angstrom
3.792 0.000 0.000
0.000 3.792 0.000
0.000 0.000 14.312
ATOMIC_POSITIONS crystal
La 0.000 0.000 0.000
La 0.000 0.000 0.358
La 0.000 0.000 0.642
La 0.500 0.500 0.181
La 0.500 0.500 0.819
Hg 0.500 0.500 0.500
```

Record 5
A plane-wave DFT calculation with PBE was carried out for Pm5Dy2Th3 after structural relaxation. Values from VASP.

For the total energy, the calculation gives -54.7 eV per formula unit. Its total magnetization is 0.00 μB/f.u. Its formation energy from the elements is 0.048 eV/atom.

```
&SYSTEM
  ibrav = 0, nat = 10, ntyp = 3
/
ATOMIC_SPECIES
Pm 145.00 Pm.upf
Dy 162.50 Dy.upf
Th 232.04 Th.upf
CELL_PARAMETERS angstrom
5.710 -2.542 0.000
5.710 2.542 0.000
-0.009 0.000 11.413
ATOMIC_POSITIONS crystal
Pm 0.000 0.000 0.000
Pm 0.199 0.199 0.599
Pm 0.302 0.302 0.897
Pm 0.698 0.698 0.103
Pm 0.801 0.801 0.401
Dy 0.402 0.402 0.205
Dy 0.598 0.598 0.795
Th 0.098 0.098 0.302
Th 0.500 0.500 0.500
Th 0.902 0.902 0.698
```

Record 6
A plane-wave DFT calculation with PBE was carried out for Al2SeCl after structural relaxation. Values from VASP.

For the total energy, the calculation gives -14.4 eV per formula unit. Its total magnetization is 0.00 μB/f.u. The excess energy over the best structure of this formula in the dataset is 227 meV/atom. The value obtained for the raw formation energy is -408 meV per atom.

```
&SYSTEM
  ibrav = 0, nat = 4, ntyp = 3
/
ATOMIC_SPECIES
Al 26.98 Al.upf
Se 78.96 Se.upf
Cl 35.45 Cl.upf
CELL_PARAMETERS angstrom
5.394 0.000 0.000
0.000 3.541 0.000
-1.134 0.000 5.600
ATOMIC_POSITIONS crystal
Al 0.128 0.000 0.324
Al 0.872 0.000 0.676
Se 0.000 0.500 0.000
Cl 0.500 0.500 0.500
```

Record 7
A plane-wave DFT calculation with PBE was carried out for LiMnBe2 after structural relaxation. Values from VASP.

For the total energy, the calculation gives -17.1 eV per formula unit. Its total magnetization is 0.43 μB/f.u. Its formation energy from the elements is 0.348 eV/atom.

```
&SYSTEM
  ibrav = 0, nat = 4, ntyp = 3
/
ATOMIC_SPECIES
Li 6.94 Li.upf
Mn 54.94 Mn.upf
Be 9.01 Be.upf
CELL_PARAMETERS angstrom
-1.209 1.998 3.963
1.209 -1.998 3.963
1.209 1.998 -3.963
ATOMIC_POSITIONS crystal
Li 0.000 0.000 0.000
Mn 0.500 0.500 0.000
Be 0.249 0.749 0.500
Be 0.751 0.251 0.500
```

Record 8
A plane-wave DFT calculation with PBE was carried out for GaSiSnRu2 after structural relaxation. Values from VASP.

For the total energy, the calculation gives -26.3 eV per formula unit. Its total magnetization is 0.00 μB/f.u. The value obtained for the raw formation energy is 948 meV per atom.

```
&SYSTEM
  ibrav = 0, nat = 5, ntyp = 4
/
ATOMIC_SPECIES
Ga 69.72 Ga.upf
Si 28.09 Si.upf
Sn 118.71 Sn.upf
Ru 101.07 Ru.upf
CELL_PARAMETERS angstrom
4.671 0.000 0.000
0.000 4.671 0.000
0.000 0.000 4.395
ATOMIC_POSITIONS crystal
Ga 0.000 0.000 0.000
Si 0.000 0.000 0.500
Sn 0.500 0.500 0.500
Ru 0.000 0.500 0.000
Ru 0.500 0.000 0.000
```

Record 9
A plane-wave DFT calculation with PBE was carried out for TlSiAu2 after structural relaxation. Values from VASP.

For the total energy, the calculation gives -14.5 eV per formula unit. Its total magnetization is 0.00 μB/f.u. The excess energy over the best structure of this formula in the dataset is 0 meV/atom. The value obtained for the raw formation energy is -32 meV per atom.

```
&SYSTEM
  ibrav = 0, nat = 8, ntyp = 3
/
ATOMIC_SPECIES
Tl 204.38 Tl.upf
Si 28.09 Si.upf
Au 196.97 Au.upf
CELL_PARAMETERS angstrom
4.188 -5.929 0.000
4.188 5.929 0.000
-2.656 0.000 3.908
ATOMIC_POSITIONS crystal
Tl 0.122 0.878 0.500
Tl 0.878 0.122 0.000
Si 0.363 0.635 0.179
Si 0.635 0.363 0.679
Au 0.421 0.577 0.669
Au 0.500 0.999 0.217
Au 0.577 0.421 0.169
Au 0.999 0.500 0.717
```